4
Lattice="1.8567 1.0720 9.6565 -1.8567 1.0720 9.6565 0.0000 -2.1440 9.6565" Properties=species:S:1:pos:R:3 comment="BaTaSe2 | the Alexandria database | PBE-GGA | relaxed" energy_ev_per_atom=-5.743 relative_energy_mev_per_atom=266 rho_g_cm3=6.9 e_form_raw_ev_per_atom=-0.557 spacegroup=R-3m magmom_total_mub_per_atom=0.0000 pbc="T T T"
Ba 0.0000 0.0000 0.0000
Ta 0.0000 0.0000 14.4848
Se 0.0000 0.0000 3.2603
Se 0.0000 0.0000 25.7093